Material: Ge3BiH
Method: DFT, PBE
State: optimized geometry

Cell and atoms, written as CIF:
```
data_Ge3BiH
_cell_length_a 5.6594
_cell_length_b 5.6594
_cell_length_c 5.6594
_cell_angle_alpha 90.00
_cell_angle_beta 90.00
_cell_angle_gamma 90.00
_space_group_name_H-M_alt 'P m -3 m'
_space_group_IT_number 221
_space_group_name_Hall '-P 4 2 3'
loop_
_atom_site_label
_atom_site_type_symbol
_atom_site_fract_x
_atom_site_fract_y
_atom_site_fract_z
Ge1 Ge 0.0000 0.0000 0.5000
Bi1 Bi 0.0000 0.0000 0.0000
H1 H 0.5000 0.5000 0.5000
```

Values from the calculation:
crystal system: cubic

***

Material: NaLiLa2Rh
Method: DFT, PBE
State: optimized geometry

Cell and atoms, written as CIF:
```
data_NaLiLa2Rh
_cell_length_a 5.4662
_cell_length_b 5.4662
_cell_length_c 5.3957
_cell_angle_alpha 90.00
_cell_angle_beta 90.00
_cell_angle_gamma 90.00
_space_group_name_H-M_alt 'P 4/m m m'
_space_group_IT_number 123
_space_group_name_Hall '-P 4 2'
loop_
_atom_site_label
_atom_site_type_symbol
_atom_site_fract_x
_atom_site_fract_y
_atom_site_fract_z
Na1 Na 0.0000 0.0000 0.0000
Li1 Li 0.5000 0.5000 0.0000
La1 La 0.0000 0.5000 0.5000
Rh1 Rh 0.5000 0.5000 0.5000
```

Values from the calculation:
crystal system: tetragonal
energy of formation from the pure elements: -0.913 eV per formula unit

***

Material: TeAsAu2
Method: DFT, PBE
State: optimized geometry

Cell and atoms, written as CIF:
```
data_TeAsAu2
_cell_length_a 3.0924
_cell_length_b 3.9373
_cell_length_c 7.4641
_cell_angle_alpha 90.00
_cell_angle_beta 90.00
_cell_angle_gamma 90.00
_space_group_name_H-M_alt 'P m m 2'
_space_group_IT_number 25
loop_
_space_group_symop_operation_xyz
'x,y,z'
'-x,-y,z'
'-x,y,z'
'x,-y,z'
loop_
_atom_site_label
_atom_site_type_symbol
_atom_site_fract_x
_atom_site_fract_y
_atom_site_fract_z
Te1 Te 0.0000 0.0000 0.0000
As1 As 0.5000 0.5000 0.3886
Au1 Au 0.0000 0.0000 0.5305
Au2 Au 0.5000 0.5000 0.7577
```

Values from the calculation:
formation energy without anion corrections: 0.19 eV per atom
crystal system: orthorhombic

***

Material: DyHf3
Method: DFT, PBE
State: optimized geometry

Cell and atoms, written as CIF:
```
data_DyHf3
_cell_length_a 3.2650
_cell_length_b 10.3426
_cell_length_c 5.7061
_cell_angle_alpha 90.00
_cell_angle_beta 90.00
_cell_angle_gamma 90.00
_space_group_name_H-M_alt 'I m m 2'
_space_group_IT_number 44
loop_
_space_group_symop_operation_xyz
'x,y,z'
'-x,-y,z'
'-x,y,z'
'x,-y,z'
'x+1/2,y+1/2,z+1/2'
'-x+1/2,-y+1/2,z+1/2'
'-x+1/2,y+1/2,z+1/2'
'x+1/2,-y+1/2,z+1/2'
loop_
_atom_site_label
_atom_site_type_symbol
_atom_site_fract_x
_atom_site_fract_y
_atom_site_fract_z
Dy1 Dy 0.0000 0.0000 0.0000
Hf1 Hf 0.0000 0.2457 0.6668
Hf2 Hf 0.0000 0.5000 0.9958
```

Values from the calculation:
crystal system: orthorhombic
energy of formation from the pure elements: 0.401 eV per formula unit

***

Material: LiTi3Cr
Method: DFT, PBE
State: optimized geometry

Cell and atoms, written as CIF:
```
data_LiTi3Cr
_cell_length_a 4.5862
_cell_length_b 4.5862
_cell_length_c 4.5862
_cell_angle_alpha 90.00
_cell_angle_beta 90.00
_cell_angle_gamma 90.00
_space_group_name_H-M_alt 'P m -3 m'
_space_group_IT_number 221
_space_group_name_Hall '-P 4 2 3'
loop_
_atom_site_label
_atom_site_type_symbol
_atom_site_fract_x
_atom_site_fract_y
_atom_site_fract_z
Li1 Li 0.0000 0.0000 0.0000
Ti1 Ti 0.0000 0.5000 0.5000
Cr1 Cr 0.5000 0.5000 0.5000
```

Values from the calculation:
crystal system: cubic
energy of formation from the pure elements: 3.064 eV per formula unit

***

Material: BC3
Method: DFT, PBE
State: optimized geometry

Cell and atoms, written as CIF:
```
data_BC3
_cell_length_a 2.5198
_cell_length_b 2.5198
_cell_length_c 11.6659
_cell_angle_alpha 90.00
_cell_angle_beta 90.00
_cell_angle_gamma 90.00
_space_group_name_H-M_alt 'P -4 m 2'
_space_group_IT_number 115
loop_
_space_group_symop_operation_xyz
'x,y,z'
'y,-x,-z'
'-x,-y,z'
'-y,x,-z'
'-x,y,z'
'-y,-x,-z'
'x,-y,z'
'y,x,-z'
loop_
_atom_site_label
_atom_site_type_symbol
_atom_site_fract_x
_atom_site_fract_y
_atom_site_fract_z
B1 B 0.0000 0.0000 0.0000
B2 B 0.0000 0.5000 0.2576
C1 C 0.0000 0.0000 0.3478
C2 C 0.0000 0.5000 0.5782
C3 C 0.0000 0.5000 0.9067
C4 C 0.5000 0.5000 0.1636
C5 C 0.5000 0.5000 0.5000
```

Values from the calculation:
crystal system: tetragonal
energy of formation from the pure elements: 0.963 eV per formula unit

***

Material: Ti4GaSnH
Method: DFT, PBE
State: optimized geometry

Cell and atoms, written as CIF:
```
data_Ti4GaSnH
_cell_length_a 5.3926
_cell_length_b 14.8857
_cell_length_c 5.4408
_cell_angle_alpha 90.00
_cell_angle_beta 90.00
_cell_angle_gamma 90.00
_space_group_name_H-M_alt 'C m c m'
_space_group_IT_number 63
_space_group_name_Hall '-C 2c 2'
loop_
_atom_site_label
_atom_site_type_symbol
_atom_site_fract_x
_atom_site_fract_y
_atom_site_fract_z
Ti1 Ti 0.0000 0.0673 0.2500
Ti2 Ti 0.0000 0.4221 0.2500
Ti3 Ti 0.2500 0.2500 0.0000
Ga1 Ga 0.0000 0.1132 0.7500
Sn1 Sn 0.0000 0.3914 0.7500
H1 H 0.0000 0.2889 0.2500
```

Values from the calculation:
crystal system: orthorhombic

***

Material: KPm3Te4O12
Method: DFT, PBE
State: optimized geometry

Cell and atoms, written as CIF:
```
data_KPm3Te4O12
_cell_length_a 12.8328
_cell_length_b 12.8328
_cell_length_c 8.3636
_cell_angle_alpha 90.00
_cell_angle_beta 90.00
_cell_angle_gamma 120.00
_space_group_name_H-M_alt 'R 3 2'
_space_group_IT_number 155
_space_group_name_Hall 'R 3 2"'
loop_
_atom_site_label
_atom_site_type_symbol
_atom_site_fract_x
_atom_site_fract_y
_atom_site_fract_z
K1 K 0.0000 0.0000 0.0000
Pm1 Pm 0.0000 0.5561 0.0000
Te1 Te 0.0000 0.0000 0.5000
Te2 Te 0.0000 0.4476 0.5000
O1 O 0.0000 0.6122 0.5000
O2 O 0.0000 0.8399 0.5000
O3 O 0.0483 0.2397 0.1709
```

Values from the calculation:
formation energy without anion corrections: -1.69 eV per atom
crystal system: trigonal

***

Material: LaGa2Ir
Method: DFT, PBE
State: optimized geometry

Cell and atoms, written as CIF:
```
data_LaGa2Ir
_cell_length_a 6.7368
_cell_length_b 6.7368
_cell_length_c 6.7368
_cell_angle_alpha 90.00
_cell_angle_beta 90.00
_cell_angle_gamma 90.00
_space_group_name_H-M_alt 'F m -3 m'
_space_group_IT_number 225
_space_group_name_Hall '-F 4 2 3'
loop_
_atom_site_label
_atom_site_type_symbol
_atom_site_fract_x
_atom_site_fract_y
_atom_site_fract_z
La1 La 0.0000 0.0000 0.0000
Ga1 Ga 0.2500 0.2500 0.2500
Ir1 Ir 0.0000 0.0000 0.5000
```

Values from the calculation:
crystal system: cubic
energy of formation from the pure elements: -1.926 eV per formula unit

***

Material: TlCrTc
Method: DFT, PBE
State: optimized geometry

Cell and atoms, written as CIF:
```
data_TlCrTc
_cell_length_a 6.1018
_cell_length_b 6.1018
_cell_length_c 6.1018
_cell_angle_alpha 90.00
_cell_angle_beta 90.00
_cell_angle_gamma 90.00
_space_group_name_H-M_alt 'F -4 3 m'
_space_group_IT_number 216
_space_group_name_Hall 'F -4 2 3'
loop_
_atom_site_label
_atom_site_type_symbol
_atom_site_fract_x
_atom_site_fract_y
_atom_site_fract_z
Tl1 Tl 0.0000 0.0000 0.0000
Cr1 Cr 0.2500 0.2500 0.2500
Tc1 Tc 0.0000 0.0000 0.5000
```

Values from the calculation:
crystal system: cubic
energy of formation from the pure elements: 2.473 eV per formula unit

***

Material: TbZnAu2
Method: DFT, PBE
State: optimized geometry

Cell and atoms, written as CIF:
```
data_TbZnAu2
_cell_length_a 3.5026
_cell_length_b 3.5026
_cell_length_c 6.5705
_cell_angle_alpha 90.00
_cell_angle_beta 90.00
_cell_angle_gamma 90.00
_space_group_name_H-M_alt 'P 4/m m m'
_space_group_IT_number 123
_space_group_name_Hall '-P 4 2'
loop_
_atom_site_label
_atom_site_type_symbol
_atom_site_fract_x
_atom_site_fract_y
_atom_site_fract_z
Tb1 Tb 0.0000 0.0000 0.0000
Zn1 Zn 0.0000 0.0000 0.5000
Au1 Au 0.5000 0.5000 0.2728
```

Values from the calculation:
crystal system: tetragonal
energy of formation from the pure elements: -2.218 eV per formula unit

***

Material: K2Ba2Pb
Method: DFT, PBE
State: optimized geometry

Cell and atoms, written as CIF:
```
data_K2Ba2Pb
_cell_length_a 8.9649
_cell_length_b 8.9649
_cell_length_c 6.2747
_cell_angle_alpha 90.00
_cell_angle_beta 90.00
_cell_angle_gamma 90.00
_space_group_name_H-M_alt 'P 4/m b m'
_space_group_IT_number 127
_space_group_name_Hall '-P 4 2ab'
loop_
_atom_site_label
_atom_site_type_symbol
_atom_site_fract_x
_atom_site_fract_y
_atom_site_fract_z
K1 K 0.1331 0.3669 0.0000
Ba1 Ba 0.1981 0.6981 0.5000
Pb1 Pb 0.0000 0.0000 0.0000
```

Values from the calculation:
crystal system: tetragonal
energy of formation from the pure elements: 0.269 eV per formula unit

***

Looking at total energy for the records above, in order, we have -2.73 -4.27 -3.40 -8.52 -6.43 -8.35 -6.36 -6.07 -5.44 -6.63 -3.67 -1.90 eV per atom.
Looking at Fermi-level density of states for the records above, in order, we have 4.4 4.6 1.5 3.6 7.0 0.7 7.3 4.6 0.9 1.7 1.8 1.7 states/eV/f.u..